Record 1
A geometry-optimized Re2BTeP structure. Source: the Alexandria database, functional GGA-PBEsol.

The value obtained for the total moment is 0.000 μB/atom. For the density of states at the Fermi level, the calculation gives 3.12 states/eV/f.u. The formation energy from raw total energies is 1.144 eV per atom.

Lattice parameters (Å, degrees): 4.584 4.584 3.639 90.00 90.00 90.00
Element x y z (fractional)
1 Re 0.000 0.500 0.000
2 Re 0.500 0.000 0.000
3 B 0.000 0.000 0.500
4 Te 0.500 0.500 0.500
5 P 0.000 0.000 0.000


Record 2
A geometry-optimized Ti2ReBP structure. Source: the Alexandria database, functional GGA-PBEsol.

The calculated formation energy is 0.7924 eV per atom. The value obtained for the total moment is 0.000 μB/atom. For the density of states at the Fermi level, the calculation gives 4.42 states/eV/f.u.

Lattice parameters (Å, degrees): 4.724 4.724 3.957 90.00 90.00 90.00
Element x y z (fractional)
1 Ti 0.000 0.500 0.000
2 Ti 0.500 0.000 0.000
3 Re 0.000 0.000 0.000
4 B 0.000 0.000 0.500
5 P 0.500 0.500 0.500


Record 3
A geometry-optimized BP2Ru structure. Source: the Alexandria database, functional GGA-PBEsol.

The calculated formation energy is -0.0914 eV per atom. The value obtained for the total moment is 0.000 μB/atom. For the density of states at the Fermi level, the calculation gives 2.35 states/eV/f.u.

Lattice parameters (Å, degrees): 5.705 5.705 5.705 127.70 127.70 77.11
Element x y z (fractional)
1 B 0.000 0.000 0.000
2 B 0.750 0.250 0.500
3 P 0.076 0.125 0.451
4 P 0.375 0.924 0.049
5 P 0.674 0.625 0.549
6 P 0.875 0.326 0.951
7 Ru 0.250 0.750 0.500
8 Ru 0.500 0.500 0.000


Record 4
A geometry-optimized B2PRu2 structure. Source: the Alexandria database, functional GGA-PBEsol.

The calculated formation energy is -0.3232 eV per atom. The value obtained for the total moment is 0.000 μB/atom. For the density of states at the Fermi level, the calculation gives 2.14 states/eV/f.u.

Lattice parameters (Å, degrees): 6.456 6.456 6.456 154.15 154.15 36.88
Element x y z (fractional)
1 B 0.250 0.750 0.500
2 B 0.750 0.250 0.500
3 P 0.000 0.000 0.000
4 Ru 0.385 0.385 0.000
5 Ru 0.615 0.615 0.000


Q: What is the formula in the fourth record?
A: B2PRu2